# 1
## Nd2PuCd6 (PBE)

Data for crystalline Nd2PuCd6 at its relaxed geometry.

Cell and atoms, written as POSCAR:
```
Nd2PuCd6
1.0
8.8850 0.0000 0.0000
-4.4425 7.6946 0.0000
0.0000 0.0000 3.3283
Nd Pu Cd
2 1 6
direct
0.3333 0.6667 0.0000
0.6667 0.3333 0.0000
0.0000 0.0000 0.0000
0.0000 0.3327 0.5000
0.0000 0.6673 0.5000
0.3327 0.0000 0.5000
0.3327 0.3327 0.5000
0.6673 0.0000 0.5000
0.6673 0.6673 0.5000
```

Total moment = 6.27 μB/cell
Energy of formation = -0.258 eV/atom
Crystal system = hexagonal


# 2
## Nd2PuCd (PBE)

Data for crystalline Nd2PuCd at its relaxed geometry.

Cell and atoms, written as POSCAR:
```
Nd2PuCd
1.0
3.4450 0.0000 0.0000
-1.7225 2.9835 0.0000
0.0000 0.0000 36.2250
Nd Pu Cd
6 3 3
direct
0.0000 0.0000 0.0920
0.0000 0.0000 0.9080
0.3333 0.6667 0.5747
0.3333 0.6667 0.7587
0.6667 0.3333 0.2413
0.6667 0.3333 0.4253
0.0000 0.0000 0.0000
0.3333 0.6667 0.6667
0.6667 0.3333 0.3333
0.0000 0.0000 0.5000
0.3333 0.6667 0.1667
0.6667 0.3333 0.8333
```

Total moment = 19.24 μB/cell
Energy of formation = 0.225 eV/atom
Offset from the most stable computed form = 102.3 kJ/mol of formula units
Crystal system = trigonal


# 3
## Nd4PuCd5 (PBE)

Data for crystalline Nd4PuCd5 at its relaxed geometry.

Cell and atoms, written as POSCAR:
```
Nd4PuCd5
1.0
3.8491 0.0000 0.0000
0.0000 3.8491 0.0000
0.0000 0.0000 19.1306
Nd Pu Cd
4 1 5
direct
0.0000 0.0000 0.1009
0.0000 0.0000 0.3025
0.0000 0.0000 0.6975
0.0000 0.0000 0.8991
0.0000 0.0000 0.5000
0.5000 0.5000 0.0000
0.5000 0.5000 0.2013
0.5000 0.5000 0.4017
0.5000 0.5000 0.5983
0.5000 0.5000 0.7987
```

Total moment = 7.56 μB/cell
Energy of formation = -0.240 eV/atom
Crystal system = tetragonal


# 4
## Nd2PuCd (PBE)

Data for crystalline Nd2PuCd at its relaxed geometry.

Cell and atoms, written as POSCAR:
```
Nd2PuCd
1.0
7.8207 0.0000 0.0000
0.0000 7.8207 0.0000
0.0000 0.0000 7.8207
Nd Pu Cd
8 4 4
direct
0.2500 0.2500 0.2500
0.2500 0.2500 0.7500
0.2500 0.7500 0.2500
0.2500 0.7500 0.7500
0.7500 0.2500 0.2500
0.7500 0.2500 0.7500
0.7500 0.7500 0.2500
0.7500 0.7500 0.7500
0.0000 0.0000 0.0000
0.0000 0.5000 0.5000
0.5000 0.0000 0.5000
0.5000 0.5000 0.0000
0.0000 0.0000 0.5000
0.0000 0.5000 0.0000
0.5000 0.0000 0.0000
0.5000 0.5000 0.5000
```

Total moment = 25.01 μB/cell
Energy of formation = 0.065 eV/atom
Offset from the most stable computed form = 40.4 kJ/mol of formula units
Crystal system = cubic


# 5
## NdPuCd6 (PBE)

Data for crystalline NdPuCd6 at its relaxed geometry.

Cell and atoms, written as POSCAR:
```
NdPuCd6
1.0
5.0509 0.0000 0.0000
0.0000 6.8055 0.0000
0.0000 0.0000 11.6642
Nd Pu Cd
2 2 12
direct
0.0000 0.0000 0.0000
0.0000 0.5000 0.5000
0.5000 0.0000 0.6749
0.5000 0.5000 0.1749
0.0000 0.0000 0.5031
0.0000 0.2400 0.2544
0.0000 0.2600 0.7544
0.0000 0.5000 0.0031
0.0000 0.7400 0.7544
0.0000 0.7600 0.2544
0.5000 0.0000 0.1766
0.5000 0.2339 0.4185
0.5000 0.2661 0.9185
0.5000 0.5000 0.6766
0.5000 0.7339 0.9185
0.5000 0.7661 0.4185
```

Total moment = 12.23 μB/cell
Energy of formation = -0.161 eV/atom
Crystal system = orthorhombic


# 6
## NdPu2Cd6 (PBE)

Data for crystalline NdPu2Cd6 at its relaxed geometry.

Cell and atoms, written as POSCAR:
```
NdPu2Cd6
1.0
4.4503 2.5694 3.2445
-4.4503 2.5694 3.2445
0.0000 -5.1387 3.2445
Nd Pu Cd
1 2 6
direct
0.0000 0.0000 0.0000
0.3406 0.3406 0.3406
0.6594 0.6594 0.6594
0.1662 0.5000 0.8338
0.1662 0.8338 0.5000
0.5000 0.1662 0.8338
0.5000 0.8338 0.1662
0.8338 0.1662 0.5000
0.8338 0.5000 0.1662
```

Total moment = 11.79 μB/cell
Energy of formation = -0.174 eV/atom
Crystal system = trigonal